# Mg3Ti

An optimized crystal structure of Mg3Ti (PBE-GGA, the Alexandria database).

POSCAR file:
```
Mg3Ti
1.0
-3.498 -4.008 -0.775
-1.288 -2.161 4.750
0.029 5.095 -1.714
Mg Ti
3 1
Direct
0.500 0.500 0.000
0.250 0.750 0.500
0.750 0.250 0.500
0.000 0.000 0.000
```

Density = 2359 kg/m3
Raw total energy = -2.947 eV/atom

***

# Mg3Ti

An optimized crystal structure of Mg3Ti (PBE-GGA, the Alexandria database).

POSCAR file:
```
Mg3Ti
1.0
3.026 0.000 0.000
0.000 5.056 0.000
0.000 0.000 5.534
Mg Ti
3 1
Direct
0.000 0.000 0.656
0.000 0.500 0.329
0.500 0.500 0.855
0.500 0.000 0.159
```

Density = 2369 kg/m3
Raw total energy = -2.995 eV/atom

***

Number 1: formation energy 5.138 kcal/mol of atoms. Number 2: formation energy 4.025 kcal/mol of atoms.